VASP calculation (GGA-PBE) on ErMg2B2O6 after structural relaxation.

POSCAR file:
```
ErMg2B2O6
1.0
4.9600 0.0000 0.0000
-2.4800 4.2955 0.0000
0.0000 0.0000 7.6481
Er Mg B O
1 2 2 6
direct
0.0000 0.0000 0.0000
0.3333 0.6667 0.2871
0.6667 0.3333 0.7129
0.3333 0.6667 0.8154
0.6667 0.3333 0.1846
0.0543 0.6678 0.8184
0.3322 0.3866 0.8184
0.3866 0.0543 0.1816
0.6134 0.9457 0.8184
0.6678 0.6134 0.1816
0.9457 0.3322 0.1816
```

Symmetry: P-3, No. 147
Uncorrected energy, eV/atom: -7.22
Total magnetization, μB/f.u.: 0.433
ΔE_f (raw), meV per atom: -2594



VASP calculation (GGA-PBE) on ErMg2B2Rh5 after structural relaxation.

POSCAR file:
```
ErMg2B2Rh5
1.0
9.7510 0.0000 0.0000
0.0000 9.7510 0.0000
0.0000 0.0000 3.0233
Er Mg B Rh
2 4 4 10
direct
0.0000 0.0000 0.0000
0.5000 0.5000 0.0000
0.1774 0.3226 0.0000
0.3226 0.8226 0.0000
0.6774 0.1774 0.0000
0.8226 0.6774 0.0000
0.1215 0.6215 0.0000
0.3785 0.1215 0.0000
0.6215 0.8785 0.0000
0.8785 0.3785 0.0000
0.0000 0.5000 0.5000
0.0707 0.7717 0.5000
0.2283 0.0707 0.5000
0.2717 0.5707 0.5000
0.4293 0.2717 0.5000
0.5000 0.0000 0.5000
0.5707 0.7283 0.5000
0.7283 0.4293 0.5000
0.7717 0.9293 0.5000
0.9293 0.2283 0.5000
```

Symmetry: P4/mbm, No. 127
Uncorrected energy, eV/atom: -6.35
Total magnetization, μB/f.u.: 0.000



VASP calculation (GGA-PBE) on Er2MgB2Ru5 after structural relaxation.

POSCAR file:
```
Er2MgB2Ru5
1.0
9.6432 0.0000 0.0000
0.0000 9.6432 0.0000
0.0000 0.0000 3.1353
Er Mg B Ru
4 2 4 10
direct
0.1762 0.3238 0.0000
0.3238 0.8238 0.0000
0.6762 0.1762 0.0000
0.8238 0.6762 0.0000
0.0000 0.0000 0.0000
0.5000 0.5000 0.0000
0.1242 0.6242 0.0000
0.3758 0.1242 0.0000
0.6242 0.8758 0.0000
0.8758 0.3758 0.0000
0.0000 0.5000 0.5000
0.0704 0.7768 0.5000
0.2232 0.0704 0.5000
0.2768 0.5704 0.5000
0.4296 0.2768 0.5000
0.5000 0.0000 0.5000
0.5704 0.7232 0.5000
0.7232 0.4296 0.5000
0.7768 0.9296 0.5000
0.9296 0.2232 0.5000
```

Symmetry: P4/mbm, No. 127
Uncorrected energy, eV/atom: -7.41
Total magnetization, μB/f.u.: 0.000



VASP calculation (GGA-PBE) on ErMnB14 after structural relaxation.

POSCAR file:
```
ErMnB14
1.0
-2.9271 5.3327 4.1088
2.9271 -5.3327 4.1088
2.9271 5.3327 -4.1088
Er Mn B
2 2 28
direct
0.3782 0.1282 0.2500
0.6218 0.8718 0.7500
0.0000 0.0000 0.5000
0.0000 0.5000 0.0000
0.0020 0.8713 0.1306
0.0313 0.2050 0.3302
0.0313 0.7011 0.8263
0.0863 0.6708 0.4154
0.1987 0.5317 0.6670
0.2241 0.5020 0.4026
0.2241 0.8214 0.7221
0.2407 0.8713 0.3694
0.2446 0.3292 0.9154
0.3647 0.5317 0.8330
0.3748 0.2050 0.6737
0.3748 0.7011 0.1698
0.4006 0.1786 0.9026
0.4006 0.4980 0.2221
0.5994 0.5020 0.7779
0.5994 0.8214 0.0974
0.6252 0.2989 0.8302
0.6252 0.7950 0.3263
0.6353 0.4683 0.1670
0.7554 0.6708 0.0846
0.7593 0.1287 0.6306
0.7759 0.1786 0.2779
0.7759 0.4980 0.5974
0.8013 0.4683 0.3330
0.9137 0.3292 0.5846
0.9687 0.2989 0.1737
0.9687 0.7950 0.6698
0.9980 0.1287 0.8694
```

Symmetry: Imma, No. 74
Uncorrected energy, eV/atom: -6.87
Total magnetization, μB/f.u.: 3.716



VASP calculation (GGA-PBE) on Er3Mn3B8 after structural relaxation.

POSCAR file:
```
Er3Mn3B8
1.0
-1.5860 3.8286 6.4781
1.5860 -3.8286 6.4781
1.5860 3.8286 -6.4781
Er Mn B
3 3 8
direct
0.0000 0.0000 0.0000
0.2774 0.2774 0.0000
0.7226 0.7226 0.0000
0.2963 0.5000 0.7963
0.5000 0.0000 0.5000
0.7037 0.5000 0.2037
0.0387 0.3648 0.6739
0.1455 0.8772 0.2683
0.3091 0.6352 0.6739
0.3911 0.1228 0.2683
0.6089 0.8772 0.7317
0.6909 0.3648 0.3261
0.8545 0.1228 0.7317
0.9613 0.6352 0.3261
```

Symmetry: Immm, No. 71
Uncorrected energy, eV/atom: -7.04
Total magnetization, μB/f.u.: 0.163



VASP calculation (GGA-PBE) on ErMnB after structural relaxation.

POSCAR file:
```
ErMnB
1.0
3.4666 0.0000 0.0000
0.0000 3.4666 0.0000
0.0000 0.0000 7.8042
Er Mn B
2 2 2
direct
0.2500 0.2500 0.1882
0.7500 0.7500 0.8118
0.2500 0.7500 0.5000
0.7500 0.2500 0.5000
0.2500 0.2500 0.6559
0.7500 0.7500 0.3441
```

Symmetry: P4/nmm, No. 129
Uncorrected energy, eV/atom: -7.13
Total magnetization, μB/f.u.: 1.397